[1]
This record from Alexandria via LeMat-Bulk describes an optimized crystal structure of BeFe2Tc. The functional is PBE.

Cell and atoms, written as CIF:
```
data_BeFe2Tc
_space_group_name_H-M_alt 'P 4/m m m'
_space_group_IT_number 123
_space_group_name_Hall '-P 4 2'
_cell_length_a 3.408
_cell_length_b 3.408
_cell_length_c 3.950
_cell_angle_alpha 90.00
_cell_angle_beta 90.00
_cell_angle_gamma 90.00
loop_
_atom_site_label
_atom_site_type_symbol
_atom_site_fract_x
_atom_site_fract_y
_atom_site_fract_z
Be1 Be 0.000 0.000 0.000
Fe1 Fe 0.000 0.500 0.500
Tc1 Tc 0.500 0.500 0.000
```

=====

[2]
This record from Alexandria via LeMat-Bulk describes an optimized crystal structure of BeFe2Tc. The functional is PBE.

Cell and atoms, written as CIF:
```
data_BeFe2Tc
_space_group_name_H-M_alt 'R -3 m'
_space_group_IT_number 166
_space_group_name_Hall '-R 3 2"'
_cell_length_a 2.5897
_cell_length_b 2.5897
_cell_length_c 23.7900
_cell_angle_alpha 90.00
_cell_angle_beta 90.00
_cell_angle_gamma 120.00
loop_
_atom_site_label
_atom_site_type_symbol
_atom_site_fract_x
_atom_site_fract_y
_atom_site_fract_z
Be1 Be 0.0000 0.0000 0.0000
Fe1 Fe 0.0000 0.0000 0.2564
Tc1 Tc 0.0000 0.0000 0.5000
```

=====

[3]
This record from Alexandria via LeMat-Bulk describes an optimized crystal structure of BeFe2Tc. The functional is PBE.

Cell and atoms, written as CIF:
```
data_BeFe2Tc
_space_group_name_H-M_alt 'P 4/m m m'
_space_group_IT_number 123
_space_group_name_Hall '-P 4 2'
_cell_length_a 3.893
_cell_length_b 3.893
_cell_length_c 2.924
_cell_angle_alpha 90.00
_cell_angle_beta 90.00
_cell_angle_gamma 90.00
loop_
_atom_site_label
_atom_site_type_symbol
_atom_site_fract_x
_atom_site_fract_y
_atom_site_fract_z
Be1 Be 0.000 0.000 0.000
Fe1 Fe 0.000 0.500 0.500
Tc1 Tc 0.500 0.500 0.000
```

=====

[4]
# BeFeTc | Alexandria via LeMat-Bulk | PBE | optimized geometry
# Relative energy among the computed polymorphs: 0.111 eV per atom
data_BeFeTc
_space_group_name_H-M_alt 'P 3 m 1'
_space_group_IT_number 156
_space_group_name_Hall 'P 3 -2"'
_cell_length_a 3.8486
_cell_length_b 3.8486
_cell_length_c 2.5942
_cell_angle_alpha 90.00
_cell_angle_beta 90.00
_cell_angle_gamma 120.00
loop_
_atom_site_label
_atom_site_type_symbol
_atom_site_fract_x
_atom_site_fract_y
_atom_site_fract_z
Be1 Be 0.0000 0.0000 0.0000
Fe1 Fe 0.6667 0.3333 0.1506
Tc1 Tc 0.3333 0.6667 0.5498

=====

no.,energy of formation (eV/atom),spin magnetization (μB/f.u.)
1,0.027,4.649
2,0.138,3.012
3,0.135,0.572
4,-0.037,0.000